Record 1
Compound: Tb6TlSe3
Source: the Alexandria database
Functional: GGA-PBE
Structure: relaxed

Output
Calculated total energy = -5.1321 eV/atom
Formation energy from raw total energies = -1072 meV/atom
Crystal system = monoclinic
Symmetry = P2_1/m
Magnetization = 0.068 μB per atom

a b c (Å): 11.975 3.961 12.146
angles (deg): 90.00 107.57 90.00
Positions (direct):
Tb 0.001 0.250 0.358
Tb 0.119 0.250 0.931
Tb 0.224 0.750 0.263
Tb 0.298 0.750 0.748
Tb 0.364 0.250 0.527
Tb 0.420 0.750 0.094
Tb 0.580 0.250 0.906
Tb 0.636 0.750 0.473
Tb 0.702 0.250 0.252
Tb 0.776 0.250 0.737
Tb 0.881 0.750 0.069
Tb 0.999 0.750 0.642
Tl 0.449 0.250 0.305
Tl 0.551 0.750 0.695
Se 0.060 0.250 0.146
Se 0.167 0.750 0.492
Se 0.352 0.250 0.922
Se 0.648 0.750 0.078
Se 0.833 0.250 0.508
Se 0.940 0.750 0.854

=====

Record 2
Compound: ZrI2N2
Source: the Alexandria database
Functional: GGA-PBE
Structure: relaxed

Output
Calculated total energy = -4.8776 eV/atom
Formation energy from raw total energies = 782 meV/atom
Crystal system = tetragonal
Symmetry = P4/mmm
Offset from the most stable computed form = 179 meV per atom
Magnetization = 0.752 μB per atom

a b c (Å): 5.920 5.920 4.095
angles (deg): 90.00 90.00 90.00
Positions (direct):
Zr 0.000 0.000 0.000
I 0.000 0.500 0.000
I 0.500 0.000 0.000
N 0.000 0.000 0.500
N 0.500 0.500 0.500

=====

Record 3
Compound: MnVRu2Au
Source: the Alexandria database
Functional: GGA-PBE
Structure: relaxed

Output
Formation energy = 2035 meV/atom
Calculated total energy = -5.9883 eV/atom
Crystal system = tetragonal
Symmetry = P4/mmm
Magnetization = 1.562 μB per atom

a b c (Å): 4.892 4.892 4.611
angles (deg): 90.00 90.00 90.00
Positions (direct):
Mn 0.000 0.000 0.000
V 0.500 0.500 0.000
Ru 0.000 0.500 0.500
Ru 0.500 0.000 0.500
Au 0.500 0.500 0.500

=====

Record 4
Compound: AcYSc
Source: the Alexandria database
Functional: GGA-PBE
Structure: relaxed

Output
Formation energy = 166 meV/atom
Calculated total energy = -5.4686 eV/atom
Crystal system = hexagonal
Symmetry = P-6m2
Offset from the most stable computed form = 64 meV per atom
Magnetization = 0.000 μB per atom

a b c (Å): 5.686 5.686 3.549
angles (deg): 90.00 90.00 120.00
Positions (direct):
Ac 0.000 0.000 0.000
Y 0.333 0.667 0.500
Sc 0.667 0.333 0.000

=====

Record 5
Compound: DyH2Cl4
Source: the Alexandria database
Functional: GGA-PBE
Structure: relaxed

Output
Calculated total energy = -3.7258 eV/atom
Crystal system = triclinic
Symmetry = P-1
Magnetization = 0.000 μB per atom

a b c (Å): 3.852 7.004 7.011
angles (deg): 77.83 77.69 86.54
Positions (direct):
Dy 0.000 0.000 0.000
H 0.428 0.662 0.237
H 0.572 0.338 0.763
Cl 0.193 0.347 0.756
Cl 0.404 0.118 0.214
Cl 0.596 0.882 0.786
Cl 0.807 0.653 0.244

=====

Record 6
Compound: ErZnNi2
Source: the Alexandria database
Functional: GGA-PBE
Structure: relaxed

Output
Formation energy = -290 meV/atom
Calculated total energy = -4.6399 eV/atom
Crystal system = tetragonal
Symmetry = P4/mmm
Magnetization = 0.000 μB per atom

a b c (Å): 3.204 3.204 6.002
angles (deg): 90.00 90.00 90.00
Positions (direct):
Er 0.000 0.000 0.000
Zn 0.000 0.000 0.500
Ni 0.500 0.500 0.291
Ni 0.500 0.500 0.709

=====

Which of these has the highest magnetization? MnVRu2Au